(1)
This record from Alexandria describes TlAu2Se after structural relaxation. The functional is PBE.

Calculated values
Crystal system ... monoclinic

a = 2.993 Å, b = 3.951 Å, c = 7.844 Å
α = 90.00°, β = 90.06°, γ = 90.00°
Space group Pm (No. 6)
Inequivalent atoms, fractional coordinates:
Tl (0.000, 0.000, 0.000)
Au (0.019, 0.500, 0.710)
Au (0.518, 0.000, 0.520)
Se (0.514, 0.500, 0.293)

***

(2)
This record from Alexandria describes Tl2Au2Se after structural relaxation. The functional is PBE.

Calculated values
Crystal system ... tetragonal

a = 8.998 Å, b = 8.998 Å, c = 3.025 Å
α = 90.00°, β = 90.00°, γ = 90.00°
Space group P4/mbm (No. 127)
Inequivalent atoms, fractional coordinates:
Tl (0.195, 0.305, 0.000)
Au (0.107, 0.607, 0.500)
Se (0.000, 0.000, 0.000)

***

(3)
This record from Alexandria describes Tl12AuSe5 after structural relaxation. The functional is PBE.

Calculated values
Crystal system ... monoclinic

a = 7.462 Å, b = 13.235 Å, c = 12.469 Å
α = 90.00°, β = 100.97°, γ = 90.00°
Space group C2/m (No. 12)
Inequivalent atoms, fractional coordinates:
Tl (0.118, 0.167, 0.357)
Tl (0.121, 0.500, 0.362)
Tl (0.198, 0.333, 0.135)
Tl (0.219, 0.000, 0.141)
Au (0.000, 0.500, 0.000)
Se (0.000, 0.000, 0.500)
Se (0.000, 0.162, 0.000)
Se (0.000, 0.331, 0.500)

***

(4)
This record from Alexandria describes Tl2AuSe2 after structural relaxation. The functional is PBE.

Calculated values
Crystal system ... tetragonal

a = 7.870 Å, b = 7.870 Å, c = 4.865 Å
α = 90.00°, β = 90.00°, γ = 90.00°
Space group P4/mbm (No. 127)
Inequivalent atoms, fractional coordinates:
Tl (0.191, 0.309, 0.000)
Au (0.000, 0.000, 0.000)
Se (0.107, 0.607, 0.500)

***

(5)
This record from Alexandria describes Tl2AuSe after structural relaxation. The functional is PBE.

Calculated values
Crystal system ... orthorhombic

a = 4.842 Å, b = 5.761 Å, c = 7.851 Å
α = 90.00°, β = 90.00°, γ = 90.00°
Space group Cmm2 (No. 35)
Inequivalent atoms, fractional coordinates:
Tl (0.000, 0.000, 0.000)
Tl (0.000, 0.500, 0.363)
Au (0.000, 0.000, 0.585)
Se (0.000, 0.500, 0.760)

***

(6)
This record from Alexandria describes TlAu2Se after structural relaxation. The functional is PBE.

Calculated values
Crystal system ... orthorhombic

a = 4.425 Å, b = 4.465 Å, c = 9.069 Å
α = 90.00°, β = 90.00°, γ = 90.00°
Space group Cmm2 (No. 35)
Inequivalent atoms, fractional coordinates:
Tl (0.000, 0.000, 0.000)
Au (0.000, 0.000, 0.528)
Au (0.000, 0.500, 0.736)
Se (0.000, 0.500, 0.317)

***

(7)
This record from Alexandria describes TlAu2Se after structural relaxation. The functional is PBE.

Calculated values
Crystal system ... monoclinic

a = 11.038 Å, b = 3.696 Å, c = 6.955 Å
α = 90.00°, β = 125.59°, γ = 90.00°
Space group Cm (No. 8)
Inequivalent atoms, fractional coordinates:
Tl (0.000, 0.000, 0.000)
Au (0.158, 0.500, 0.806)
Au (0.327, 0.000, 0.152)
Se (0.480, 0.500, 0.488)

***

(8)
This record from Alexandria describes Tl2AuSe2 after structural relaxation. The functional is PBE.

Calculated values
Crystal system ... tetragonal

a = 7.100 Å, b = 7.100 Å, c = 5.421 Å
α = 90.00°, β = 90.00°, γ = 90.00°
Space group P4/mbm (No. 127)
Inequivalent atoms, fractional coordinates:
Tl (0.168, 0.332, 0.000)
Au (0.000, 0.000, 0.500)
Se (0.155, 0.655, 0.500)

***

(9)
This record from Alexandria describes Tl5Au2Se5 after structural relaxation. The functional is PBE.

Calculated values
Crystal system ... monoclinic

a = 14.459 Å, b = 4.310 Å, c = 11.661 Å
α = 90.00°, β = 107.33°, γ = 90.00°
Space group C2/m (No. 12)
Inequivalent atoms, fractional coordinates:
Tl (0.000, 0.000, 0.000)
Tl (0.158, 0.000, 0.539)
Tl (0.236, 0.000, 0.849)
Au (0.052, 0.500, 0.301)
Se (0.000, 0.500, 0.500)
Se (0.104, 0.500, 0.914)
Se (0.129, 0.000, 0.247)

***

(10)
This record from Alexandria describes Tl10Au4Se after structural relaxation. The functional is PBE.

Calculated values
Crystal system ... trigonal

a = 5.0193 Å, b = 5.0193 Å, c = 61.8328 Å
α = 90.00°, β = 90.00°, γ = 120.00°
Space group R-3m (No. 166, hexagonal axes)
Inequivalent atoms, fractional coordinates:
Tl (0.0000, 0.0000, 0.0481)
Tl (0.0000, 0.0000, 0.1463)
Tl (0.0000, 0.0000, 0.2523)
Tl (0.0000, 0.0000, 0.3497)
Tl (0.0000, 0.0000, 0.4454)
Au (0.0000, 0.0000, 0.0964)
Au (0.0000, 0.0000, 0.3005)
Se (0.0000, 0.0000, 0.5000)

***

(11)
This record from Alexandria describes Tl2AuSe after structural relaxation. The functional is PBE.

Calculated values
Crystal system ... tetragonal

a = 3.748 Å, b = 3.748 Å, c = 7.755 Å
α = 90.00°, β = 90.00°, γ = 90.00°
Space group P4mm (No. 99)
Inequivalent atoms, fractional coordinates:
Tl (0.000, 0.000, 0.000)
Tl (0.500, 0.500, 0.371)
Au (0.000, 0.000, 0.591)
Se (0.500, 0.500, 0.763)

***

(12)
This record from Alexandria describes TlAu2Se after structural relaxation. The functional is PBE.

Calculated values
Crystal system ... tetragonal

a = 3.968 Å, b = 3.968 Å, c = 5.646 Å
α = 90.00°, β = 90.00°, γ = 90.00°
Space group P4/mmm (No. 123)
Inequivalent atoms, fractional coordinates:
Tl (0.000, 0.000, 0.000)
Au (0.500, 0.500, 0.251)
Se (0.000, 0.000, 0.500)

***

Number 1: uncorrected formation energy 58 meV/atom. Number 2: uncorrected formation energy 141 meV/atom. Number 3: uncorrected formation energy -290 meV/atom. Number 4: uncorrected formation energy 24 meV/atom. Number 5: uncorrected formation energy -4 meV/atom. Number 6: uncorrected formation energy 184 meV/atom. Number 7: uncorrected formation energy 30 meV/atom. Number 8: uncorrected formation energy -103 meV/atom. Number 9: uncorrected formation energy -184 meV/atom. Number 10: uncorrected formation energy -82 meV/atom. Number 11: uncorrected formation energy -6 meV/atom. Number 12: uncorrected formation energy 187 meV/atom.